First-principles (PBE) data for crystalline Ba2C at its relaxed geometry, as listed in Alexandria via LeMat-Bulk.

```
Ba2C
1.0
5.1630 0.0000 0.0000
0.0000 5.1630 0.0000
0.0000 0.0000 7.0085
Ba C
4 2
direct
0.0000 0.0000 0.0000
0.5000 0.5000 0.0000
0.0000 0.5000 0.5860
0.5000 0.0000 0.4140
0.0000 0.5000 0.2068
0.5000 0.0000 0.7932
```

Properties
As for the crystal system: tetragonal. The energy above the most stable polymorph in this dataset comes out at 1.76 eV per formula unit. The calculation puts the formation energy at 0.723 eV/atom. The density of states at the Fermi level comes out at 3.8 states/eV per cell.